# TcAsSe

An optimized crystal structure of TcAsSe (PBE, Alexandria).

Cell and atoms, written as CIF:
```
data_TcAsSe
_cell_length_a 8.0540
_cell_length_b 7.8225
_cell_length_c 2.9339
_cell_angle_alpha 83.83
_cell_angle_beta 74.94
_cell_angle_gamma 21.23
_space_group_name_H-M_alt 'P 1'
_space_group_IT_number 1
loop_
_space_group_symop_operation_xyz
'x,y,z'
loop_
_atom_site_label
_atom_site_fract_x
_atom_site_fract_y
_atom_site_fract_z
_atom_site_occupancy
Tc1 0.0000 0.0000 0.0000 1
As1 0.6279 0.6279 0.3721 1
Se1 0.3668 0.3668 0.6332 1
```

Output
magnetic moment = 0.00 μB/f.u.
distance to the lowest polymorph of the same formula = 0.592 eV/atom
energy = -5.892 eV per atom
uncorrected formation energy = 0.2744 eV per atom

# La5Ho2Tm2

An optimized crystal structure of La5Ho2Tm2 (PBE, Alexandria).

Cell and atoms, written as CIF:
```
data_La5Ho2Tm2
_cell_length_a 6.3019
_cell_length_b 6.3091
_cell_length_c 8.1083
_cell_angle_alpha 75.21
_cell_angle_beta 82.55
_cell_angle_gamma 80.46
_space_group_name_H-M_alt 'P 1'
_space_group_IT_number 1
loop_
_space_group_symop_operation_xyz
'x,y,z'
loop_
_atom_site_label
_atom_site_fract_x
_atom_site_fract_y
_atom_site_fract_z
_atom_site_occupancy
La1 0.0000 0.0000 0.0000 1
La2 0.2220 0.1123 0.5551 1
La3 0.3360 0.6656 0.3289 1
La4 0.6640 0.3344 0.6711 1
La5 0.7780 0.8877 0.4449 1
Ho1 0.1116 0.5584 0.7837 1
Ho2 0.8884 0.4416 0.2163 1
Tm1 0.4419 0.2271 0.1084 1
Tm2 0.5581 0.7729 0.8916 1
```

Output
magnetic moment = 0.00 μB/f.u.
distance to the lowest polymorph of the same formula = 0.000 eV/atom
energy = -4.719 eV per atom

# MgCr2Tc

An optimized crystal structure of MgCr2Tc (PBE, Alexandria).

Cell and atoms, written as CIF:
```
data_MgCr2Tc
_cell_length_a 3.0905
_cell_length_b 4.2614
_cell_length_c 4.3781
_cell_angle_alpha 90.00
_cell_angle_beta 90.00
_cell_angle_gamma 90.00
_space_group_name_H-M_alt 'P 1'
_space_group_IT_number 1
loop_
_space_group_symop_operation_xyz
'x,y,z'
loop_
_atom_site_label
_atom_site_fract_x
_atom_site_fract_y
_atom_site_fract_z
_atom_site_occupancy
Mg1 0.0000 0.0000 0.0000 1
Cr1 0.0000 0.5000 0.5000 1
Cr2 0.5000 0.5000 0.0000 1
Tc1 0.5000 0.0000 0.5000 1
```

Output
magnetic moment = 2.54 μB/f.u.
energy = -7.440 eV per atom

# Pm2H6RuAu

An optimized crystal structure of Pm2H6RuAu (PBE, Alexandria).

Cell and atoms, written as CIF:
```
data_Pm2H6RuAu
_cell_length_a 5.3896
_cell_length_b 5.3896
_cell_length_c 5.3640
_cell_angle_alpha 119.69
_cell_angle_beta 119.69
_cell_angle_gamma 90.71
_space_group_name_H-M_alt 'P 1'
_space_group_IT_number 1
loop_
_space_group_symop_operation_xyz
'x,y,z'
loop_
_atom_site_label
_atom_site_fract_x
_atom_site_fract_y
_atom_site_fract_z
_atom_site_occupancy
Pm1 0.2498 0.7502 0.0000 1
Pm2 0.7502 0.2498 0.0000 1
H1 0.2276 0.7724 0.5000 1
H2 0.2304 0.2304 0.9567 1
H3 0.2306 0.2306 0.5033 1
H4 0.7694 0.7694 0.4967 1
H5 0.7696 0.7696 0.0433 1
H6 0.7724 0.2276 0.5000 1
Ru1 0.0000 0.0000 0.5000 1
Au1 0.5000 0.5000 0.5000 1
```

Output
magnetic moment = 0.00 μB/f.u.
energy = -4.612 eV per atom